# 1
TcPt2: relaxed, PBE.

- offset from the most stable computed form (eV/f.u.) = 0.25
- density of states at the Fermi level (states/eV/atom) = 1.30
- total energy (eV per atom) = -7.5932
- ΔE_f (eV per atom) = -0.111

a = 6.9300 Å, b = 6.9300 Å, c = 6.9300 Å
α = 23.33°, β = 23.33°, γ = 23.33°
With the nearest neighbours (Å) after each atom.
Element x y z (fractional)
Tc (0.0000, 0.0000, 0.0000)  6 Pt 2.69-2.71, 6 Tc 2.80
Pt (0.5590, 0.5590, 0.5590)  3 Tc 2.71, 9 Pt 2.80-2.91
Pt (0.7729, 0.7729, 0.7729)  3 Tc 2.69, 9 Pt 2.80-2.91

=====

# 2
TcPt: relaxed, PBE.

- offset from the most stable computed form (eV/f.u.) = 0.62
- density of states at the Fermi level (states/eV/atom) = 0.87
- total energy (eV per atom) = -8.0494
- ΔE_f (eV per atom) = 0.154

a = 4.2905 Å, b = 4.2905 Å, c = 8.1622 Å
α = 90.00°, β = 90.00°, γ = 120.00°
With the nearest neighbours (Å) after each atom.
Element x y z (fractional)
Tc (0.0000, 0.0000, 0.2500)  3 Tc 2.48
Tc (0.0000, 0.0000, 0.7500)  3 Tc 2.48
Tc (0.3333, 0.6667, 0.2500)  3 Tc 2.48, 2 Pt 2.72
Tc (0.6667, 0.3333, 0.7500)  3 Tc 2.48, 2 Pt 2.72
Pt (0.3333, 0.6667, 0.5828)  7 Tc 2.72-2.83, 4 Pt 2.73-2.82
Pt (0.3333, 0.6667, 0.9172)  7 Tc 2.72-2.83, 4 Pt 2.73-2.82
Pt (0.6667, 0.3333, 0.0828)  7 Tc 2.72-2.83, 4 Pt 2.73-2.82
Pt (0.6667, 0.3333, 0.4172)  7 Tc 2.72-2.83, 4 Pt 2.73-2.82

=====

# 3
TcPt3: relaxed, PBE.

- density of states at the Fermi level (states/eV/atom) = 0.64
- total energy (eV per atom) = -7.2961
- ΔE_f (eV per atom) = -0.174

a = 2.7609 Å, b = 2.7609 Å, c = 8.0253 Å
α = 90.00°, β = 90.00°, γ = 90.00°
With the nearest neighbours (Å) after each atom.
Element x y z (fractional)
Tc (0.0000, 0.0000, 0.0000)  8 Pt 2.73, 4 Tc 2.76
Pt (0.0000, 0.0000, 0.5000)  12 Pt 2.76-2.87
Pt (0.5000, 0.5000, 0.2370)  4 Tc 2.73, 8 Pt 2.76-2.87
Pt (0.5000, 0.5000, 0.7630)  4 Tc 2.73, 8 Pt 2.76-2.87

=====

# 4
TcPt3: relaxed, PBE.

- density of states at the Fermi level (states/eV/atom) = 1.70
- total energy (eV per atom) = -7.1248
- ΔE_f (eV per atom) = -0.003

a = 3.9459 Å, b = 3.9459 Å, c = 3.9459 Å
α = 90.00°, β = 90.00°, γ = 90.00°
With the nearest neighbours (Å) after each atom.
Element x y z (fractional)
Tc (0.0000, 0.0000, 0.0000)  12 Pt 2.79
Pt (0.0000, 0.5000, 0.5000)  4 Tc 2.79, 8 Pt 2.79
Pt (0.5000, 0.0000, 0.5000)  4 Tc 2.79, 8 Pt 2.79
Pt (0.5000, 0.5000, 0.0000)  4 Tc 2.79, 8 Pt 2.79

=====

# 5
TcPt: relaxed, PBE.

- offset from the most stable computed form (eV/f.u.) = 0.41
- density of states at the Fermi level (states/eV/atom) = 0.75
- total energy (eV per atom) = -8.1550
- ΔE_f (eV per atom) = 0.048

a = 4.4283 Å, b = 4.4283 Å, c = 10.8482 Å
α = 90.00°, β = 90.00°, γ = 120.00°
With the nearest neighbours (Å) after each atom.
Element x y z (fractional)
Tc (0.0000, 0.0000, 0.1180)  1 Tc 2.56, 4 Pt 2.74-2.82
Tc (0.0000, 0.0000, 0.8820)  1 Tc 2.56, 4 Pt 2.74-2.82
Tc (0.3333, 0.6667, 0.2630)  1 Tc 2.55, 7 Pt 2.56-2.81
Tc (0.3333, 0.6667, 0.4980)  4 Tc 2.55-2.56, 1 Pt 2.74
Tc (0.6667, 0.3333, 0.5020)  4 Tc 2.55-2.56, 1 Pt 2.74
Tc (0.6667, 0.3333, 0.7370)  1 Tc 2.55, 7 Pt 2.56-2.81
Pt (0.0000, 0.0000, 0.3706)  10 Tc 2.74-2.93, 4 Pt 2.81-2.87
Pt (0.0000, 0.0000, 0.6294)  10 Tc 2.74-2.93, 4 Pt 2.81-2.87
Pt (0.3333, 0.6667, 0.0075)  4 Pt 2.56-2.79, 4 Tc 2.77-2.82
Pt (0.3333, 0.6667, 0.7506)  4 Tc 2.56-2.74, 1 Pt 2.79
Pt (0.6667, 0.3333, 0.2494)  4 Tc 2.56-2.74, 1 Pt 2.79
Pt (0.6667, 0.3333, 0.9925)  4 Pt 2.56-2.79, 4 Tc 2.77-2.82

=====

# 6
TcPt3: relaxed, PBE.

- density of states at the Fermi level (states/eV/atom) = 1.35
- total energy (eV per atom) = -7.1533
- ΔE_f (eV per atom) = -0.031

a = 5.3537 Å, b = 5.3537 Å, c = 5.3537 Å
α = 149.93°, β = 62.82°, γ = 126.25°
With the nearest neighbours (Å) after each atom.
Element x y z (fractional)
Tc (0.0000, 0.0000, 0.0000)  10 Pt 2.74-2.85, 2 Tc 2.78
Pt (0.0775, 0.3342, 0.7433)  3 Tc 2.74-2.85, 9 Pt 2.77-2.83
Pt (0.4920, 0.9920, 0.5000)  4 Tc 2.76-2.82, 8 Pt 2.77-2.83
Pt (0.5909, 0.3342, 0.2567)  3 Tc 2.74-2.85, 9 Pt 2.77-2.83

=====

# 7
Tc5Pt: relaxed, PBE.

- offset from the most stable computed form (eV/f.u.) = 0.00
- density of states at the Fermi level (states/eV/atom) = 1.19
- total energy (eV per atom) = -9.7696
- ΔE_f (eV per atom) = -0.125

a = 4.8134 Å, b = 4.8134 Å, c = 4.3745 Å
α = 90.00°, β = 90.00°, γ = 120.00°
With the nearest neighbours (Å) after each atom.
Element x y z (fractional)
Tc (0.0000, 0.6627, 0.0000)  10 Tc 2.71-2.81, 2 Pt 2.72
Tc (0.3333, 0.6667, 0.5000)  9 Tc 2.71-2.78, 3 Pt 2.78
Tc (0.3373, 0.3373, 0.0000)  10 Tc 2.71-2.81, 2 Pt 2.72
Tc (0.6627, 0.0000, 0.0000)  10 Tc 2.71-2.81, 2 Pt 2.72
Tc (0.6667, 0.3333, 0.5000)  9 Tc 2.71-2.78, 3 Pt 2.78
Pt (0.0000, 0.0000, 0.5000)  12 Tc 2.72-2.78

=====

# 8
Tc2Pt: relaxed, PBE.

- offset from the most stable computed form (eV/f.u.) = 1.23
- density of states at the Fermi level (states/eV/atom) = 1.08
- total energy (eV per atom) = -8.7245
- ΔE_f (eV per atom) = 0.200

a = 5.1163 Å, b = 5.1163 Å, c = 8.2268 Å
α = 90.00°, β = 90.00°, γ = 120.00°
With the nearest neighbours (Å) after each atom.
Element x y z (fractional)
Tc (0.0000, 0.0000, 0.0000)  6 Tc 2.58
Tc (0.0000, 0.0000, 0.5000)  6 Tc 2.58
Tc (0.1753, 0.3507, 0.2500)  6 Tc 2.42-2.69
Tc (0.1753, 0.8247, 0.2500)  6 Tc 2.42-2.69
Tc (0.3507, 0.1753, 0.7500)  6 Tc 2.42-2.69
Tc (0.6493, 0.8247, 0.2500)  6 Tc 2.42-2.69
Tc (0.8247, 0.1753, 0.7500)  6 Tc 2.42-2.69
Tc (0.8247, 0.6493, 0.7500)  6 Tc 2.42-2.69
Pt (0.3333, 0.6667, 0.5769)  1 Pt 2.85, 12 Tc 2.93-3.03
Pt (0.3333, 0.6667, 0.9231)  1 Pt 2.85, 12 Tc 2.93-3.03
Pt (0.6667, 0.3333, 0.0769)  1 Pt 2.85, 12 Tc 2.93-3.03
Pt (0.6667, 0.3333, 0.4231)  1 Pt 2.85, 12 Tc 2.93-3.03

=====

# 9
TcPt: relaxed, PBE.

- offset from the most stable computed form (eV/f.u.) = 0.03
- density of states at the Fermi level (states/eV/atom) = 1.04
- total energy (eV per atom) = -8.3442
- ΔE_f (eV per atom) = -0.141

a = 5.2467 Å, b = 5.2467 Å, c = 6.6210 Å
α = 104.09°, β = 104.09°, γ = 30.63°
With the nearest neighbours (Å) after each atom.
Element x y z (fractional)
Tc (0.0000, 0.0000, 0.0000)  5 Tc 2.70-2.82, 7 Pt 2.74-2.76
Tc (0.0529, 0.0529, 0.6013)  7 Pt 2.68-2.85, 5 Tc 2.70-2.82
Tc (0.3978, 0.3978, 0.2768)  6 Pt 2.67-2.85, 6 Tc 2.70-2.77
Pt (0.3423, 0.3423, 0.6697)  6 Tc 2.68-2.85, 6 Pt 2.77-2.86
Pt (0.6682, 0.6682, 0.3267)  7 Tc 2.67-2.80, 5 Pt 2.74-2.86
Pt (0.7206, 0.7206, 0.9397)  7 Tc 2.74-2.85, 5 Pt 2.74-2.78

=====

# 10
Tc2Pt: relaxed, PBE.

- offset from the most stable computed form (eV/f.u.) = 0.22
- density of states at the Fermi level (states/eV/atom) = 0.88
- total energy (eV per atom) = -9.0609
- ΔE_f (eV per atom) = -0.137

a = 6.0663 Å, b = 6.0663 Å, c = 3.9370 Å
α = 90.00°, β = 90.00°, γ = 142.05°
With the nearest neighbours (Å) after each atom.
Element x y z (fractional)
Tc (0.0928, 0.9072, 0.7500)  6 Tc 2.66-2.90, 6 Pt 2.79-2.83
Tc (0.2519, 0.7481, 0.2500)  8 Tc 2.66-2.79, 4 Pt 2.73-2.76
Tc (0.7481, 0.2519, 0.7500)  8 Tc 2.66-2.79, 4 Pt 2.73-2.76
Tc (0.9072, 0.0928, 0.2500)  6 Tc 2.66-2.90, 6 Pt 2.79-2.83
Pt (0.4165, 0.5835, 0.7500)  10 Tc 2.73-2.83, 2 Pt 2.75
Pt (0.5835, 0.4165, 0.2500)  10 Tc 2.73-2.83, 2 Pt 2.75

=====

# 11
Tc2Pt: relaxed, PBE.

- offset from the most stable computed form (eV/f.u.) = 0.15
- density of states at the Fermi level (states/eV/atom) = 0.78
- total energy (eV per atom) = -9.0853
- ΔE_f (eV per atom) = -0.161

a = 5.2485 Å, b = 5.2485 Å, c = 6.5761 Å
α = 103.56°, β = 103.56°, γ = 30.32°
With the nearest neighbours (Å) after each atom.
Element x y z (fractional)
Tc (0.1452, 0.1452, 0.0242)  8 Tc 2.61-2.88, 4 Pt 2.77-2.79
Tc (0.1951, 0.1951, 0.6463)  7 Tc 2.65-2.80, 5 Pt 2.72-2.82
Tc (0.8049, 0.8049, 0.3537)  7 Tc 2.65-2.80, 5 Pt 2.72-2.82
Tc (0.8548, 0.8548, 0.9758)  8 Tc 2.61-2.88, 4 Pt 2.77-2.79
Pt (0.4701, 0.4701, 0.6972)  9 Tc 2.72-2.82, 3 Pt 2.75-2.80
Pt (0.5299, 0.5299, 0.3028)  9 Tc 2.72-2.82, 3 Pt 2.75-2.80

=====

# 12
TcPt: relaxed, PBE.

- offset from the most stable computed form (eV/f.u.) = 1.77
- density of states at the Fermi level (states/eV/atom) = 1.37
- total energy (eV per atom) = -7.4750
- ΔE_f (eV per atom) = 0.728

a = 3.9640 Å, b = 3.9640 Å, c = 5.2936 Å
α = 90.00°, β = 90.00°, γ = 120.00°
With the nearest neighbours (Å) after each atom.
Element x y z (fractional)
Tc (0.3333, 0.6667, 0.2500)  6 Pt 2.64
Tc (0.6667, 0.3333, 0.7500)  6 Pt 2.64
Pt (0.0000, 0.0000, 0.0000)  6 Tc 2.64, 2 Pt 2.65
Pt (0.0000, 0.0000, 0.5000)  6 Tc 2.64, 2 Pt 2.65